Ba2MnInS5 | PBE | optimized geometry

Cell lengths 9.3140, 9.3140, 12.7198 Å; angles 90.00, 90.00, 154.36 degrees
Atoms (fractional coordinates):
Ba 0.1216 0.8784 0.5000
Ba 0.1277 0.8723 0.1310
Ba 0.8723 0.1277 0.6310
Ba 0.8784 0.1216 0.0000
Mn 0.4354 0.5646 0.2354
Mn 0.5646 0.4354 0.7354
In 0.2107 0.7893 0.8375
In 0.7893 0.2107 0.3375
S 0.0564 0.9436 0.8141
S 0.2964 0.7036 0.4699
S 0.3118 0.6882 0.1886
S 0.3488 0.6512 0.8169
S 0.4995 0.5005 0.0847
S 0.5005 0.4995 0.5847
S 0.6512 0.3488 0.3169
S 0.6882 0.3118 0.6886
S 0.7036 0.2964 0.9699
S 0.9436 0.0564 0.3141

Computed properties:
Volume (A^3/atom): 26.5
DOS at the Fermi energy (states/eV/cell): 6.36
Formation energy from raw total energies (meV per atom): -1215